1.
A plane-wave DFT calculation with PBE was carried out for a geometry-optimized TbSm2Y3Ho6 structure.

Cell: 6.159 6.159 11.783 Å, 94.98 94.98 119.95°
Fractional coordinates of all 12 atoms:
Tb 0.000 0.000 0.000
Sm 0.333 0.667 0.000
Sm 0.667 0.333 0.000
Y 0.167 0.833 0.500
Y 0.500 0.500 0.500
Y 0.833 0.167 0.500
Ho 0.084 0.417 0.251
Ho 0.249 0.249 0.749
Ho 0.417 0.084 0.251
Ho 0.583 0.916 0.749
Ho 0.751 0.751 0.251
Ho 0.916 0.583 0.749

E_tot	-5.058	eV per atom
ΔH_f (0 K)	19	meV/atom

***

2.
A plane-wave DFT calculation with PBE was carried out for a geometry-optimized Nb2SiPb structure.

Cell: 4.715 4.715 4.715 Å, 60.00 60.00 60.00°
Fractional coordinates of all 4 atoms:
Nb 0.250 0.250 0.250
Nb 0.750 0.750 0.750
Si 0.000 0.000 0.000
Pb 0.500 0.500 0.500

ΔE_f (raw)	0.28	eV per atom
energy above the most stable polymorph in this dataset	0	meV/atom
E_tot	-7.042	eV per atom

***

3.
A plane-wave DFT calculation with PBE was carried out for a geometry-optimized Mg2GaH structure.

Cell: 7.074 7.074 7.074 Å, 26.79 26.79 26.79°
Fractional coordinates of all 4 atoms:
Mg 0.000 0.000 0.000
Mg 0.207 0.207 0.207
Ga 0.770 0.770 0.770
H 0.595 0.595 0.595

energy above the most stable polymorph in this dataset	74	meV/atom
E_tot	-2.359	eV per atom

***

4.
A plane-wave DFT calculation with PBE was carried out for a geometry-optimized YBPb2 structure.

Cell: 6.342 6.342 6.342 Å, 103.66 103.66 121.84°
Fractional coordinates of all 8 atoms:
Y 0.000 0.000 0.000
Y 0.750 0.250 0.500
B 0.250 0.750 0.500
B 0.500 0.500 0.000
Pb 0.201 0.625 0.076
Pb 0.375 0.451 0.576
Pb 0.549 0.125 0.924
Pb 0.875 0.799 0.424

E_tot	-4.804	eV per atom
ΔH_f (0 K)	336	meV/atom

***

5.
A plane-wave DFT calculation with PBE was carried out for a geometry-optimized MgCuAs2Se structure.

Cell: 4.662 4.662 5.055 Å, 90.00 90.00 90.00°
Fractional coordinates of all 5 atoms:
Mg 0.000 0.000 0.000
Cu 0.500 0.500 0.500
As 0.000 0.500 0.500
As 0.500 0.000 0.500
Se 0.500 0.500 0.000

ΔE_f (raw)	0.33	eV per atom
energy above the most stable polymorph in this dataset	0	meV/atom
E_tot	-3.361	eV per atom

***

6.
A plane-wave DFT calculation with PBE was carried out for a geometry-optimized LaPrCuIr structure.

Cell: 4.375 5.870 5.870 Å, 40.37 90.00 90.00°
Fractional coordinates of all 4 atoms:
La 0.000 0.000 0.000
Pr 0.500 0.726 0.726
Cu 0.000 0.291 0.291
Ir 0.500 0.442 0.442

energy above the most stable polymorph in this dataset	0	meV/atom
E_tot	-6.128	eV per atom
ΔH_f (0 K)	-462	meV/atom